# 1
This record from the Alexandria database describes InGeO2 after structural relaxation. The functional is GGA-PBEsol.

a = 4.143 Å, b = 4.143 Å, c = 4.143 Å
α = 60.00°, β = 60.00°, γ = 60.00°
Sites, in units of the cell vectors:
Ge 0.000 0.000 0.000
O 0.250 0.250 0.250
O 0.750 0.750 0.750
In 0.500 0.500 0.500

## Properties
The total magnetization is 0.000 Bohr magnetons per cell. The energy relative to the elements, uncorrected comes out at -0.46 eV/atom. Its space group is Fm-3m. For the calculated total energy, the calculation gives -5.0666 eV per atom. As for the crystal system: cubic.

***

# 2
This record from the Alexandria database describes ScTlRh2 after structural relaxation. The functional is GGA-PBEsol.

a = 3.854 Å, b = 3.854 Å, c = 5.197 Å
α = 111.76°, β = 111.76°, γ = 90.00°
Sites, in units of the cell vectors:
Rh 0.250 0.750 0.500
Rh 0.500 0.500 0.000
Sc 0.750 0.250 0.500
Tl 0.000 0.000 0.000

## Properties
As for the energy above the lowest structure with this stoichiometry: 0.116 eV/atom. The total magnetization is 0.000 Bohr magnetons per cell. Its space group is I-4m2. For the calculated total energy, the calculation gives -6.8548 eV per atom. As for the crystal system: tetragonal.

***

What did we get for ρ? Answer: 7.247, 11.501 g cm⁻³, in the order shown.